(1)
# KHgF6

An optimized crystal structure of KHgF6 (PBE-GGA, Alexandria via LeMat-Bulk).

a = 5.227 Å, b = 5.306 Å, c = 6.190 Å
α = 69.65°, β = 65.20°, γ = 68.13°
Fractional positions:
1 K 0.000 0.000 0.000
2 Hg 0.500 0.500 0.500
3 F 0.082 0.534 0.713
4 F 0.396 0.873 0.226
5 F 0.478 0.266 0.321
6 F 0.522 0.734 0.679
7 F 0.604 0.127 0.774
8 F 0.918 0.466 0.287

## Properties
- total magnetization (μB per formula unit) = 1.04
- calculated volume (Å³ per atom) = 17.61
- VASP energy (eV per atom) = -2.832
- E_form (uncorrected) (eV per atom) = -1.254
- space group = P-1 (2)


(2)
# KHgF3

An optimized crystal structure of KHgF3 (PBE-GGA, Alexandria via LeMat-Bulk).

a = 6.737 Å, b = 6.737 Å, c = 6.737 Å
α = 55.58°, β = 55.58°, γ = 55.58°
Fractional positions:
1 K 0.137 0.137 0.137
2 K 0.863 0.863 0.863
3 Hg 0.349 0.349 0.349
4 Hg 0.651 0.651 0.651
5 F 0.052 0.704 0.472
6 F 0.296 0.528 0.948
7 F 0.472 0.052 0.704
8 F 0.528 0.948 0.296
9 F 0.704 0.472 0.052
10 F 0.948 0.296 0.528

## Properties
- total magnetization (μB per formula unit) = 0.00
- calculated volume (Å³ per atom) = 19.41
- VASP energy (eV per atom) = -3.398
- E_form (uncorrected) (eV per atom) = -1.996
- space group = R-3 (148)


(3)
# KHgF3

An optimized crystal structure of KHgF3 (PBE-GGA, Alexandria via LeMat-Bulk).

a = 7.440 Å, b = 7.440 Å, c = 7.864 Å
α = 99.33°, β = 99.33°, γ = 28.14°
Fractional positions:
1 K 0.133 0.133 0.379
2 K 0.867 0.867 0.621
3 Hg 0.360 0.360 0.136
4 Hg 0.640 0.640 0.864
5 F 0.042 0.042 0.765
6 F 0.181 0.181 0.059
7 F 0.317 0.317 0.398
8 F 0.683 0.683 0.602
9 F 0.819 0.819 0.941
10 F 0.958 0.958 0.235

## Properties
- total magnetization (μB per formula unit) = 0.00
- calculated volume (Å³ per atom) = 20.24
- VASP energy (eV per atom) = -3.335
- E_form (uncorrected) (eV per atom) = -1.933
- space group = C2/m (12)


(4)
# K2HgF5

An optimized crystal structure of K2HgF5 (PBE-GGA, Alexandria via LeMat-Bulk).

a = 4.933 Å, b = 6.388 Å, c = 6.428 Å
α = 67.85°, β = 74.90°, γ = 67.45°
Fractional positions:
1 K 0.250 0.180 0.242
2 K 0.750 0.820 0.758
3 Hg 0.500 0.500 0.500
4 F 0.000 0.500 0.500
5 F 0.303 0.800 0.631
6 F 0.489 0.746 0.173
7 F 0.511 0.254 0.827
8 F 0.697 0.200 0.369

## Properties
- total magnetization (μB per formula unit) = 1.02
- calculated volume (Å³ per atom) = 21.46
- VASP energy (eV per atom) = -3.482
- E_form (uncorrected) (eV per atom) = -2.000
- space group = P-1 (2)


(5)
# K4Hg6F19

An optimized crystal structure of K4Hg6F19 (PBE-GGA, Alexandria via LeMat-Bulk).

a = 9.113 Å, b = 9.113 Å, c = 9.113 Å
α = 109.47°, β = 109.47°, γ = 109.47°
Fractional positions:
1 K 0.000 0.000 0.285
2 K 0.000 0.285 0.000
3 K 0.285 0.000 0.000
4 K 0.715 0.715 0.715
5 Hg 0.167 0.500 0.667
6 Hg 0.333 0.833 0.500
7 Hg 0.500 0.333 0.833
8 Hg 0.500 0.667 0.167
9 Hg 0.667 0.167 0.500
10 Hg 0.833 0.500 0.333
11 F 0.000 0.000 0.000
12 F 0.000 0.356 0.356
13 F 0.000 0.644 0.644
14 F 0.033 0.726 0.339
15 F 0.274 0.308 0.613
16 F 0.305 0.692 0.967
17 F 0.308 0.613 0.274
18 F 0.339 0.033 0.726
19 F 0.356 0.000 0.356
20 F 0.356 0.356 0.000
21 F 0.387 0.695 0.661
22 F 0.613 0.274 0.308
23 F 0.644 0.000 0.644
24 F 0.644 0.644 0.000
25 F 0.661 0.387 0.695
26 F 0.692 0.967 0.305
27 F 0.695 0.661 0.387
28 F 0.726 0.339 0.033
29 F 0.967 0.305 0.692

## Properties
- total magnetization (μB per formula unit) = 3.01
- calculated volume (Å³ per atom) = 20.09
- VASP energy (eV per atom) = -3.128
- E_form (uncorrected) (eV per atom) = -1.689
- space group = I23 (197)


(6)
# KHgF3

An optimized crystal structure of KHgF3 (PBE-GGA, Alexandria via LeMat-Bulk).

a = 3.564 Å, b = 7.169 Å, c = 6.875 Å
α = 90.00°, β = 90.70°, γ = 90.00°
Fractional positions:
1 K 0.000 0.250 0.023
2 K 0.000 0.750 0.977
3 Hg 0.500 0.000 0.500
4 Hg 0.500 0.500 0.500
5 F 0.000 0.250 0.461
6 F 0.000 0.750 0.539
7 F 0.498 0.514 0.192
8 F 0.498 0.986 0.192
9 F 0.502 0.014 0.808
10 F 0.502 0.486 0.808

## Properties
- total magnetization (μB per formula unit) = 0.00
- calculated volume (Å³ per atom) = 17.56
- VASP energy (eV per atom) = -3.395
- E_form (uncorrected) (eV per atom) = -1.992
- space group = P2_1/m (11)